1) Material: Mg2ReAu
Method: DFT, GGA-PBE
State: relaxed

abc: 6.534 6.534 6.534
angles: 90.00 90.00 90.00
Space group F-43m (No. 216)
Symmetry-distinct sites (fractional):
Mg1 0.000 0.000 0.000 x4
Mg2 0.250 0.250 0.250 x4
Re1 0.250 0.250 0.750 x4
Au1 0.000 0.000 0.500 x4

Results
The value obtained for the density of states at the Fermi level is 1.036 states/eV per atom. Its total magnetization is 1.56 μB per formula unit.

=====

2) Material: Mg2ReAu
Method: DFT, GGA-PBE
State: relaxed

abc: 9.279 2.848 5.224
angles: 90.00 100.12 90.00
Space group C2/m (No. 12)
Symmetry-distinct sites (fractional):
Mg1 0.247 0.000 0.260 x4
Re1 0.000 0.000 0.500 x2
Au1 0.000 0.500 0.000 x2

Results
The value obtained for the density of states at the Fermi level is 0.720 states/eV per atom. Its total magnetization is 0.00 μB per formula unit.

=====

In terms of stability, 2) leads; the second structure lies 204 meV per atom higher.